# Sr2P7Cl, PBEsol geometry, DFT SCAN
data_Sr2P7Cl
_chemical_formula_sum 'Sr16 P56 Cl8'
_cell_length_a 9.4528
_cell_length_b 9.4528
_cell_length_c 22.1109
_cell_angle_alpha 79.31
_cell_angle_beta 79.31
_cell_angle_gamma 79.88
_space_group_name_H-M_alt 'P 1'
_space_group_IT_number 1
_space_group_name_Hall 'P 1'
loop_
_atom_site_label
_atom_site_type_symbol
_atom_site_fract_x
_atom_site_fract_y
_atom_site_fract_z
Sr1 Sr 0.8607 0.1393 0.2500
Sr2 Sr 0.1393 0.8607 0.7500
Sr3 Sr 0.2799 0.7201 0.2500
Sr4 Sr 0.7201 0.2799 0.7500
Sr5 Sr 0.7347 0.7223 0.1115
Sr6 Sr 0.2777 0.2653 0.3885
Sr7 Sr 0.2653 0.2777 0.8885
Sr8 Sr 0.7223 0.7347 0.6115
Sr9 Sr 0.3342 0.3542 0.1064
Sr10 Sr 0.6458 0.6658 0.3936
Sr11 Sr 0.6658 0.6458 0.8936
Sr12 Sr 0.3542 0.3342 0.6064
Sr13 Sr 0.1139 0.7117 0.4461
Sr14 Sr 0.2883 0.8861 0.0539
Sr15 Sr 0.8861 0.2883 0.5539
Sr16 Sr 0.7117 0.1139 0.9461
P1 P 0.8605 0.8064 0.2469
P2 P 0.1936 0.1395 0.2531
P3 P 0.1395 0.1936 0.7531
P4 P 0.8064 0.8605 0.7469
P5 P 0.0231 0.7549 0.1663
P6 P 0.2451 0.9769 0.3337
P7 P 0.9769 0.2451 0.8337
P8 P 0.7549 0.0231 0.6663
P9 P 0.9718 0.7168 0.3274
P10 P 0.2832 0.0282 0.1726
P11 P 0.0282 0.2832 0.6726
P12 P 0.7168 0.9718 0.8274
P13 P 0.7154 0.6444 0.2547
P14 P 0.3556 0.2846 0.2453
P15 P 0.2846 0.3556 0.7453
P16 P 0.6444 0.7154 0.7547
P17 P 0.0787 0.5267 0.1981
P18 P 0.4733 0.9213 0.3019
P19 P 0.9213 0.4733 0.8019
P20 P 0.5267 0.0787 0.6981
P21 P 0.0467 0.5000 0.3076
P22 P 0.5000 0.9533 0.1924
P23 P 0.9533 0.5000 0.6924
P24 P 0.5000 0.0467 0.8076
P25 P 0.8794 0.4549 0.2583
P26 P 0.5451 0.1206 0.2417
P27 P 0.1206 0.5451 0.7417
P28 P 0.4549 0.8794 0.7583
P29 P 0.6790 0.2873 0.0830
P30 P 0.7127 0.3210 0.4170
P31 P 0.3210 0.7127 0.9170
P32 P 0.2873 0.6790 0.5830
P33 P 0.2346 0.6156 0.0108
P34 P 0.3844 0.7654 0.4892
P35 P 0.7654 0.3844 0.9892
P36 P 0.6156 0.2346 0.5108
P37 P 0.0615 0.7846 0.5884
P38 P 0.2154 0.9385 0.9116
P39 P 0.9385 0.2154 0.4116
P40 P 0.7846 0.0615 0.0884
P41 P 0.7985 0.3780 0.1386
P42 P 0.6220 0.2015 0.3614
P43 P 0.2015 0.6220 0.8614
P44 P 0.3780 0.7985 0.6386
P45 P 0.0074 0.6817 0.0079
P46 P 0.3183 0.9926 0.4921
P47 P 0.9926 0.3183 0.9921
P48 P 0.6817 0.0074 0.5079
P49 P 0.0148 0.3124 0.0922
P50 P 0.6876 0.9852 0.4078
P51 P 0.9852 0.6876 0.9078
P52 P 0.3124 0.0148 0.5922
P53 P 0.0032 0.1054 0.0574
P54 P 0.8946 0.9968 0.4426
P55 P 0.9968 0.8946 0.9426
P56 P 0.1054 0.0032 0.5574
Cl1 Cl 0.8267 0.6039 0.4963
Cl2 Cl 0.3961 0.1733 0.0037
Cl3 Cl 0.1733 0.3961 0.5037
Cl4 Cl 0.6039 0.8267 0.9963
Cl5 Cl 0.3681 0.5598 0.3655
Cl6 Cl 0.4402 0.6319 0.1345
Cl7 Cl 0.6319 0.4402 0.6345
Cl8 Cl 0.5598 0.3681 0.8655
# Final energy in eV/cell: -1073.6
# E_form (uncorrected) in meV/atom: -888
# D(E_F) in states/eV/cell: 0.0

***

# Ir2Se, PBEsol geometry, DFT SCAN
data_Ir2Se
_chemical_formula_sum 'Ir2 Se1'
_cell_length_a 2.8572
_cell_length_b 2.8572
_cell_length_c 5.8530
_cell_angle_alpha 104.09
_cell_angle_beta 104.09
_cell_angle_gamma 90.03
_space_group_name_H-M_alt 'P 1'
_space_group_IT_number 1
_space_group_name_Hall 'P 1'
loop_
_atom_site_label
_atom_site_type_symbol
_atom_site_fract_x
_atom_site_fract_y
_atom_site_fract_z
Ir1 Ir 0.3335 0.3335 0.6672
Ir2 Ir 0.6665 0.6665 0.3328
Se1 Se 0.0000 0.0000 0.0000
# Polymorph energy (0 for the lowest one) in meV/atom: 150.3
# Final energy in eV/cell: -160.4
# E_form (uncorrected) in meV/atom: 611
# D(E_F) in states/eV/cell: 2.8

***

# Mg2TiGeRu, PBEsol geometry, DFT SCAN
data_Mg2TiGeRu
_chemical_formula_sum 'Mg2 Ti1 Ge1 Ru1'
_cell_length_a 4.2445
_cell_length_b 5.2547
_cell_length_c 5.2547
_cell_angle_alpha 90.00
_cell_angle_beta 90.00
_cell_angle_gamma 90.00
_space_group_name_H-M_alt 'P 1'
_space_group_IT_number 1
_space_group_name_Hall 'P 1'
loop_
_atom_site_label
_atom_site_type_symbol
_atom_site_fract_x
_atom_site_fract_y
_atom_site_fract_z
Ru1 Ru 0.5000 0.0000 0.0000
Ge1 Ge 0.5000 0.5000 0.5000
Mg1 Mg 0.0000 0.0000 0.5000
Mg2 Mg 0.0000 0.5000 0.0000
Ti1 Ti 0.0000 0.0000 0.0000
# Final energy in eV/cell: -75.0
# D(E_F) in states/eV/cell: 4.2